This record from Alexandria via LeMat-Bulk describes a geometry-optimized RbReN2O structure. The functional is PBE.

POSCAR file:
```
RbReN2O
1.0
3.9577 0.0000 0.0000
0.0000 3.9577 0.0000
0.0000 0.0000 4.0949
Rb Re N O
1 1 2 1
direct
0.0000 0.0000 0.0000
0.5000 0.5000 0.5000
0.0000 0.5000 0.5000
0.5000 0.0000 0.5000
0.5000 0.5000 0.0000
```

Summary:
Formation energy without anion corrections: -0.303 eV per atom

=====

This record from Alexandria via LeMat-Bulk describes a geometry-optimized RbRhNO2 structure. The functional is PBE.

POSCAR file:
```
RbRhNO2
1.0
4.7638 0.0000 0.0000
0.0000 4.7638 0.0000
0.0000 0.0000 4.5405
Rb Rh N O
1 1 1 2
direct
0.0000 0.0000 0.0000
0.5000 0.5000 0.5000
0.0000 0.0000 0.5000
0.0000 0.5000 0.0000
0.5000 0.0000 0.0000
```

Summary:
Formation energy without anion corrections: 2.238 eV per atom

=====

This record from Alexandria via LeMat-Bulk describes a geometry-optimized RbRhNO2 structure. The functional is PBE.

POSCAR file:
```
RbRhNO2
1.0
4.1941 0.0000 0.0000
0.0000 4.1941 0.0000
0.0000 0.0000 3.7843
Rb Rh N O
1 1 1 2
direct
0.0000 0.0000 0.0000
0.5000 0.5000 0.5000
0.5000 0.5000 0.0000
0.0000 0.5000 0.5000
0.5000 0.0000 0.5000
```

Summary:
Formation energy without anion corrections: -0.040 eV per atom